(1)
This record from the Alexandria database describes crystalline Y3HgN at its relaxed geometry. The functional is PBE.

a = 7.074 Å, b = 5.266 Å, c = 7.493 Å
α = 90.00°, β = 109.90°, γ = 90.00°
Sites, in units of the cell vectors:
Y: 0.000 0.000 0.000
Y: 0.000 0.000 0.500
Y: 0.271 0.470 0.332
Y: 0.271 0.530 0.832
Y: 0.729 0.470 0.168
Y: 0.729 0.530 0.668
Hg: 0.500 0.030 0.750
Hg: 0.500 0.970 0.250
N: 0.000 0.246 0.250
N: 0.000 0.754 0.750

Summary:
Space group: No. 13
Volume, Å³/cell: 262.46
Density of states at the Fermi level, states/eV per cell: 10.14
ΔE_f (raw), eV per atom: -0.6558

(2)
This record from the Alexandria database describes crystalline BePdSe at its relaxed geometry. The functional is PBE.

a = 4.814 Å, b = 3.663 Å, c = 5.800 Å
α = 90.00°, β = 105.90°, γ = 90.00°
Sites, in units of the cell vectors:
Be: 0.000 0.000 0.000
Be: 0.458 0.500 0.420
Pd: 0.180 0.000 0.520
Pd: 0.843 0.500 0.199
Se: 0.284 0.500 0.012
Se: 0.707 0.000 0.605

Summary:
Space group: No. 6
Volume, Å³/cell: 98.36
Density of states at the Fermi level, states/eV per cell: 0.05
ΔE_f (raw), eV per atom: -0.3274

(3)
This record from the Alexandria database describes crystalline Ce5Al at its relaxed geometry. The functional is PBE.

a = 5.601 Å, b = 9.921 Å, c = 5.472 Å
α = 90.00°, β = 90.00°, γ = 90.00°
Sites, in units of the cell vectors:
Ce: 0.000 0.000 0.000
Ce: 0.000 0.142 0.500
Ce: 0.000 0.325 0.000
Ce: 0.000 0.675 0.000
Ce: 0.000 0.858 0.500
Ce: 0.500 0.175 0.000
Ce: 0.500 0.358 0.500
Ce: 0.500 0.500 0.000
Ce: 0.500 0.642 0.500
Ce: 0.500 0.825 0.000
Al: 0.000 0.500 0.500
Al: 0.500 0.000 0.500

Summary:
Space group: No. 65
Volume, Å³/cell: 304.08
Energy relative to the elements, eV per atom: -0.034
Density of states at the Fermi level, states/eV per cell: 34.65

(4)
This record from the Alexandria database describes crystalline Nd6Si2PBr3 at its relaxed geometry. The functional is PBE.

a = 9.794 Å, b = 9.794 Å, c = 8.829 Å
α = 106.33°, β = 106.33°, γ = 24.96°
Sites, in units of the cell vectors:
Nd: 0.009 0.009 0.221
Nd: 0.325 0.325 0.440
Nd: 0.344 0.344 0.897
Nd: 0.656 0.656 0.103
Nd: 0.675 0.675 0.560
Nd: 0.991 0.991 0.779
Si: 0.166 0.166 0.331
Si: 0.834 0.834 0.669
P: 0.500 0.500 0.000
Br: 0.167 0.167 0.833
Br: 0.500 0.500 0.500
Br: 0.833 0.833 0.167

Summary:
Space group: No. 12
Volume, Å³/cell: 342.27
Density of states at the Fermi level, states/eV per cell: 5.22
ΔE_f (raw), eV per atom: -1.2236

(5)
This record from the Alexandria database describes crystalline CsP3Au at its relaxed geometry. The functional is PBE.

a = 5.482 Å, b = 5.482 Å, c = 5.482 Å
α = 90.00°, β = 90.00°, γ = 90.00°
Sites, in units of the cell vectors:
Cs: 0.000 0.000 0.000
P: 0.000 0.000 0.500
P: 0.000 0.500 0.000
P: 0.500 0.000 0.000
Au: 0.500 0.500 0.500

Summary:
Space group: No. 221
Volume, Å³/cell: 164.74
Energy relative to the elements, eV per atom: 2.343
Density of states at the Fermi level, states/eV per cell: 6.29

(6)
This record from the Alexandria database describes crystalline Al2ZnPb at its relaxed geometry. The functional is PBE.

a = 4.327 Å, b = 4.734 Å, c = 8.130 Å
α = 90.00°, β = 90.00°, γ = 90.00°
Sites, in units of the cell vectors:
Al: 0.000 0.000 0.202
Al: 0.000 0.000 0.798
Al: 0.500 0.500 0.202
Al: 0.500 0.500 0.798
Zn: 0.000 0.500 0.000
Zn: 0.500 0.000 0.000
Pb: 0.000 0.500 0.500
Pb: 0.500 0.000 0.500

Summary:
Space group: No. 65
Volume, Å³/cell: 166.51
Energy relative to the elements, eV per atom: 0.208
Density of states at the Fermi level, states/eV per cell: 4.13

(7)
This record from the Alexandria database describes crystalline Ac4Pr15Sm at its relaxed geometry. The functional is PBE.

a = 5.328 Å, b = 5.328 Å, c = 26.565 Å
α = 90.00°, β = 90.00°, γ = 90.00°
Sites, in units of the cell vectors:
Ac: 0.000 0.000 0.101
Ac: 0.000 0.000 0.302
Ac: 0.000 0.000 0.698
Ac: 0.000 0.000 0.899
Pr: 0.000 0.500 0.000
Pr: 0.000 0.500 0.202
Pr: 0.000 0.500 0.404
Pr: 0.000 0.500 0.596
Pr: 0.000 0.500 0.798
Pr: 0.500 0.000 0.000
Pr: 0.500 0.000 0.202
Pr: 0.500 0.000 0.404
Pr: 0.500 0.000 0.596
Pr: 0.500 0.000 0.798
Pr: 0.500 0.500 0.101
Pr: 0.500 0.500 0.303
Pr: 0.500 0.500 0.500
Pr: 0.500 0.500 0.697
Pr: 0.500 0.500 0.899
Sm: 0.000 0.000 0.500

Summary:
Space group: No. 123
Volume, Å³/cell: 754.00
Energy relative to the elements, eV per atom: 0.020
Density of states at the Fermi level, states/eV per cell: 33.20

(8)
This record from the Alexandria database describes crystalline Mo2RuAu at its relaxed geometry. The functional is PBE.

a = 2.801 Å, b = 2.801 Å, c = 27.977 Å
α = 90.00°, β = 90.00°, γ = 120.00°
Sites, in units of the cell vectors:
Mo: 0.000 0.000 0.245
Mo: 0.000 0.000 0.755
Mo: 0.333 0.667 0.421
Mo: 0.333 0.667 0.912
Mo: 0.667 0.333 0.088
Mo: 0.667 0.333 0.579
Ru: 0.000 0.000 0.500
Ru: 0.333 0.667 0.167
Ru: 0.667 0.333 0.833
Au: 0.000 0.000 0.000
Au: 0.333 0.667 0.667
Au: 0.667 0.333 0.333

Summary:
Space group: No. 166
Volume, Å³/cell: 190.10
Energy relative to the elements, eV per atom: 0.219
Density of states at the Fermi level, states/eV per cell: 13.43

(9)
This record from the Alexandria database describes crystalline RbMgN2 at its relaxed geometry. The functional is PBE.

a = 4.734 Å, b = 4.734 Å, c = 13.328 Å
α = 90.00°, β = 90.00°, γ = 90.00°
Sites, in units of the cell vectors:
Rb: 0.000 0.250 0.375
Rb: 0.000 0.750 0.625
Rb: 0.500 0.250 0.125
Rb: 0.500 0.750 0.875
Mg: 0.000 0.250 0.875
Mg: 0.000 0.750 0.125
Mg: 0.500 0.250 0.625
Mg: 0.500 0.750 0.375
N: 0.000 0.000 0.000
N: 0.000 0.500 0.000
N: 0.250 0.250 0.750
N: 0.250 0.750 0.250
N: 0.500 0.000 0.500
N: 0.500 0.500 0.500
N: 0.750 0.250 0.750
N: 0.750 0.750 0.250

Summary:
Space group: No. 141
Volume, Å³/cell: 298.76
Density of states at the Fermi level, states/eV per cell: 3.66
ΔE_f (raw), eV per atom: 0.7002

(10)
This record from the Alexandria database describes crystalline Nd3Sm6Y2In at its relaxed geometry. The functional is PBE.

a = 6.239 Å, b = 6.239 Å, c = 11.857 Å
α = 95.10°, β = 95.10°, γ = 120.12°
Sites, in units of the cell vectors:
Nd: 0.000 0.000 0.000
Nd: 0.331 0.669 0.000
Nd: 0.669 0.331 0.000
Sm: 0.094 0.420 0.256
Sm: 0.255 0.255 0.745
Sm: 0.420 0.094 0.256
Sm: 0.580 0.906 0.744
Sm: 0.745 0.745 0.255
Sm: 0.906 0.580 0.744
Y: 0.166 0.834 0.500
Y: 0.834 0.166 0.500
In: 0.500 0.500 0.500

Summary:
Space group: No. 12
Volume, Å³/cell: 392.87
Energy relative to the elements, eV per atom: -0.037
Density of states at the Fermi level, states/eV per cell: 16.15

(11)
This record from the Alexandria database describes crystalline PmPr5Sc at its relaxed geometry. The functional is PBE.

a = 5.407 Å, b = 5.407 Å, c = 8.679 Å
α = 90.00°, β = 90.00°, γ = 90.00°
Sites, in units of the cell vectors:
Pm: 0.000 0.000 0.000
Pr: 0.000 0.500 0.289
Pr: 0.000 0.500 0.711
Pr: 0.500 0.000 0.289
Pr: 0.500 0.000 0.711
Pr: 0.500 0.500 0.000
Sc: 0.000 0.000 0.500

Summary:
Space group: No. 123
Volume, Å³/cell: 253.72
Energy relative to the elements, eV per atom: 0.232
Density of states at the Fermi level, states/eV per cell: 9.93

(12)
This record from the Alexandria database describes crystalline Cd2SbSe at its relaxed geometry. The functional is PBE.

a = 3.661 Å, b = 4.610 Å, c = 6.063 Å
α = 90.00°, β = 90.00°, γ = 90.00°
Sites, in units of the cell vectors:
Cd: 0.000 0.000 0.000
Cd: 0.500 0.500 0.000
Sb: 0.000 0.500 0.500
Se: 0.500 0.000 0.500

Summary:
Space group: No. 47
Volume, Å³/cell: 102.35
Density of states at the Fermi level, states/eV per cell: 2.48
ΔE_f (raw), eV per atom: 0.0994